Record 1
A plane-wave DFT calculation with GGA-PBE was carried out for a relaxed BaRe2As2 crystal.

Output
mass density	10.6	g/cm3
DFT formation energy	0.46	eV per atom
calculated total energy	-0.248	Ha/atom
symmetry	No. 127
polymorph energy (0 for the lowest one)	0.7054	eV per atom

a = 8.1977 Å, b = 8.1977 Å, c = 3.0725 Å
α = 90.00°, β = 90.00°, γ = 90.00°
With the nearest neighbours (Å) after each atom.
Element x y z (fractional)
Ba: 0.0000 0.0000 0.0000  2 Ba 3.07, 4 As 3.16
Ba: 0.5000 0.5000 0.0000  2 Ba 3.07, 4 As 3.16
Re: 0.1130 0.3870 0.5000  4 As 2.60, 1 Re 2.62
Re: 0.3870 0.8870 0.5000  4 As 2.60, 1 Re 2.62
Re: 0.6130 0.1130 0.5000  4 As 2.60, 1 Re 2.62
Re: 0.8870 0.6130 0.5000  4 As 2.60, 1 Re 2.62
As: 0.1414 0.6414 0.0000  4 Re 2.60
As: 0.3586 0.1414 0.0000  4 Re 2.60
As: 0.6414 0.8586 0.0000  4 Re 2.60
As: 0.8586 0.3586 0.0000  4 Re 2.60

=====

Record 2
A plane-wave DFT calculation with GGA-PBE was carried out for a relaxed LaInMo2 crystal.

Output
mass density	9.0	g/cm3
DFT formation energy	0.64	eV per atom
calculated total energy	-0.246	Ha/atom
symmetry	No. 123

a = 2.8898 Å, b = 2.8898 Å, c = 9.8170 Å
α = 90.00°, β = 90.00°, γ = 90.00°
With the nearest neighbours (Å) after each atom.
Element x y z (fractional)
La: 0.0000 0.0000 0.0000  4 La 2.89
In: 0.0000 0.0000 0.5000  4 In 2.89, 8 Mo 3.00
Mo: 0.5000 0.5000 0.2762  4 Mo 2.89, 4 In 3.00
Mo: 0.5000 0.5000 0.7238  4 Mo 2.89, 4 In 3.00